1.
A relaxed structure of GeW, computed with GGA-PBE.

As for the total DFT energy (no corrections): -7.184 eV per atom.

It has space group F-43m (No. 216), with a = 5.698 Å, b = 5.698 Å, c = 5.698 Å, α = 90.00°, β = 90.00° and γ = 90.00°. The inequivalent atoms are Ge at (0.000, 0.000, 0.000) and W at (0.250, 0.250, 0.750).

***

2.
A relaxed structure of Nd2DySn3IrPd2, computed with GGA-PBE.

As for the total DFT energy (no corrections): -5.934 eV per atom.

It has space group Amm2 (No. 38), with a = 4.095 Å, b = 13.137 Å, c = 7.575 Å, α = 90.00°, β = 90.00° and γ = 90.00°. The inequivalent atoms are Nd at (0.000, 0.204, 0.000), Dy at (0.000, 0.000, 0.392), Sn at (0.500, 0.000, 0.047), Sn at (0.500, 0.125, 0.668), Ir at (0.000, 0.000, 0.790) and Pd at (0.500, 0.163, 0.297).

***

3.
A relaxed structure of La2AgGe4Ir, computed with GGA-PBE.

As for the total DFT energy (no corrections): -5.670 eV per atom.

It has space group Amm2 (No. 38), with a = 4.477 Å, b = 4.441 Å, c = 17.605 Å, α = 90.00°, β = 90.00° and γ = 90.00°. The inequivalent atoms are La at (0.000, 0.000, 0.000), La at (0.500, 0.000, 0.218), Ag at (0.000, 0.000, 0.777), Ge at (0.000, 0.000, 0.361), Ge at (0.000, 0.000, 0.635), Ge at (0.500, 0.000, 0.565), Ge at (0.500, 0.000, 0.860) and Ir at (0.500, 0.000, 0.426).